#w
This record from the Alexandria database describes BeAsRu2 at its PBEsol-relaxed geometry. The functional is SCAN.

Lattice parameters (Å, degrees): 7.6940 2.8727 4.7242 90.00 104.82 90.00
With the nearest neighbours (Å) after each atom.
Element x y z (fractional)
1 Be 0.0000 0.0000 0.0000  6 Ru 2.33-2.57
2 Be 0.5000 0.5000 0.0000  6 Ru 2.33-2.57
3 As 0.0000 0.5000 0.5000  6 Ru 2.44-2.57
4 As 0.5000 0.0000 0.5000  6 Ru 2.44-2.57
5 Ru 0.2313 0.5000 0.2306  3 Be 2.33-2.57, 3 As 2.44-2.57
6 Ru 0.2687 0.0000 0.7694  3 Be 2.33-2.57, 3 As 2.44-2.57
7 Ru 0.7313 0.0000 0.2306  3 Be 2.33-2.57, 3 As 2.44-2.57
8 Ru 0.7687 0.5000 0.7694  3 Be 2.33-2.57, 3 As 2.44-2.57

Calculated values
SG ... C2/m (12)
Total moment ... 0.00 μB per formula unit
V ... 100.94 Å³ per cell
Density of states at the Fermi level ... 4.5 states/eV/cell

***

#x
This record from the Alexandria database describes BeAsRu2 at its PBEsol-relaxed geometry. The functional is SCAN.

Lattice parameters (Å, degrees): 5.7691 5.7691 5.7691 90.00 90.00 90.00
With the nearest neighbours (Å) after each atom.
Element x y z (fractional)
1 Be 0.0000 0.0000 0.0000  8 Ru 2.50
2 Be 0.0000 0.5000 0.5000  8 Ru 2.50
3 Be 0.5000 0.0000 0.5000  8 Ru 2.50
4 Be 0.5000 0.5000 0.0000  8 Ru 2.50
5 As 0.0000 0.0000 0.5000  8 Ru 2.50
6 As 0.0000 0.5000 0.0000  8 Ru 2.50
7 As 0.5000 0.0000 0.0000  8 Ru 2.50
8 As 0.5000 0.5000 0.5000  8 Ru 2.50
9 Ru 0.2500 0.2500 0.2500  4 As 2.50, 4 Be 2.50
10 Ru 0.2500 0.2500 0.7500  4 As 2.50, 4 Be 2.50
11 Ru 0.2500 0.7500 0.2500  4 As 2.50, 4 Be 2.50
12 Ru 0.2500 0.7500 0.7500  4 As 2.50, 4 Be 2.50
13 Ru 0.7500 0.2500 0.2500  4 As 2.50, 4 Be 2.50
14 Ru 0.7500 0.2500 0.7500  4 As 2.50, 4 Be 2.50
15 Ru 0.7500 0.7500 0.2500  4 As 2.50, 4 Be 2.50
16 Ru 0.7500 0.7500 0.7500  4 As 2.50, 4 Be 2.50

Calculated values
SG ... Fm-3m (225)
Total moment ... 0.00 μB per formula unit
V ... 192.01 Å³ per cell
Density of states at the Fermi level ... 9.1 states/eV/cell

***

#y
This record from the Alexandria database describes BeAsRu2 at its PBEsol-relaxed geometry. The functional is SCAN.

Lattice parameters (Å, degrees): 3.0265 3.7258 4.5760 90.00 90.00 90.00
With the nearest neighbours (Å) after each atom.
Element x y z (fractional)
1 Be 0.0000 0.0000 0.0000  4 Ru 2.40
2 As 0.5000 0.0000 0.5000  4 Ru 2.40
3 Ru 0.0000 0.5000 0.5000  4 As 2.40
4 Ru 0.5000 0.5000 0.0000  4 Be 2.40

Calculated values
SG ... Pmmm (47)
Total moment ... 0.00 μB per formula unit
V ... 51.60 Å³ per cell
Density of states at the Fermi level ... 3.3 states/eV/cell

***

Pick #x: it beats the second-best structure by 25.4 kJ/mol of atoms.

***

#w
This record from the Alexandria database describes Sc2BeAs at its PBEsol-relaxed geometry. The functional is SCAN.

Lattice parameters (Å, degrees): 3.6051 3.8513 9.7787 90.00 90.00 90.00
With the nearest neighbours (Å) after each atom.
Element x y z (fractional)
1 Sc 0.0000 0.0000 0.0000  4 Be 2.72, 3 As 2.81-2.84
2 Sc 0.0000 0.5000 0.5000  4 Be 2.72, 3 As 2.81-2.84
3 Sc 0.5000 0.0000 0.2886  3 Be 2.73-2.89, 4 As 2.74
4 Sc 0.5000 0.5000 0.7886  3 Be 2.73-2.89, 4 As 2.74
5 Be 0.5000 0.0000 0.5679  2 As 2.29
6 Be 0.5000 0.5000 0.0679  2 As 2.29
7 As 0.0000 0.0000 0.7131  2 Be 2.29
8 As 0.0000 0.5000 0.2131  2 Be 2.29

Calculated values
SG ... Amm2 (38)
Total moment ... 0.01 μB per formula unit
V ... 135.77 Å³ per cell
Density of states at the Fermi level ... 4.8 states/eV/cell

***

#x
This record from the Alexandria database describes Sc2BeAs at its PBEsol-relaxed geometry. The functional is SCAN.

Lattice parameters (Å, degrees): 3.4751 4.0696 9.5385 90.00 90.00 90.00
With the nearest neighbours (Å) after each atom.
Element x y z (fractional)
1 Sc 0.0000 0.0000 0.0000  4 Be 2.71, 2 As 2.86, 2 Sc 3.03
2 Sc 0.0000 0.5000 0.2360  4 As 2.72, 2 Be 2.91, 2 Sc 3.03
3 Sc 0.5000 0.0000 0.7360  4 As 2.72, 2 Be 2.91, 2 Sc 3.03
4 Sc 0.5000 0.5000 0.5000  4 Be 2.71, 2 As 2.86, 2 Sc 3.03
5 Be 0.0000 0.0000 0.4544  2 As 2.34
6 Be 0.5000 0.5000 0.9544  2 As 2.34
7 As 0.0000 0.5000 0.7896  2 Be 2.34
8 As 0.5000 0.0000 0.2896  2 Be 2.34

Calculated values
SG ... Imm2 (44)
Total moment ... 0.00 μB per formula unit
V ... 134.89 Å³ per cell
Density of states at the Fermi level ... 4.6 states/eV/cell

***

Pick #w: it beats the second-best structure by 23.3 kJ/mol of atoms.

***

#w
This record from the Alexandria database describes BeSiAs2 at its PBEsol-relaxed geometry. The functional is SCAN.

Lattice parameters (Å, degrees): 4.7225 4.7225 5.4712 90.00 90.00 90.00
With the nearest neighbours (Å) after each atom.
Element x y z (fractional)
1 Be 0.0000 0.0000 0.0000  8 As 2.73, 2 Si 2.74
2 Be 0.5000 0.5000 0.5000  8 As 2.73, 2 Si 2.74
3 Si 0.0000 0.0000 0.5000  8 As 2.73, 2 Be 2.74
4 Si 0.5000 0.5000 0.0000  8 As 2.73, 2 Be 2.74
5 As 0.0000 0.5000 0.2500  4 Be 2.73, 4 Si 2.73, 2 As 2.74
6 As 0.0000 0.5000 0.7500  4 Be 2.73, 4 Si 2.73, 2 As 2.74
7 As 0.5000 0.0000 0.2500  4 Be 2.73, 4 Si 2.73, 2 As 2.74
8 As 0.5000 0.0000 0.7500  4 Be 2.73, 4 Si 2.73, 2 As 2.74

Calculated values
SG ... I4/mmm (139)
Total moment ... 0.00 μB per formula unit
V ... 122.02 Å³ per cell
Density of states at the Fermi level ... 3.0 states/eV/cell

***

#x
This record from the Alexandria database describes BeSiAs2 at its PBEsol-relaxed geometry. The functional is SCAN.

Lattice parameters (Å, degrees): 4.3356 4.3356 3.2281 90.00 90.00 90.00
With the nearest neighbours (Å) after each atom.
Element x y z (fractional)
1 Be 0.0000 0.0000 0.0000  8 As 2.70
2 Si 0.5000 0.5000 0.0000  8 As 2.70
3 As 0.0000 0.5000 0.5000  4 Be 2.70, 4 Si 2.70
4 As 0.5000 0.0000 0.5000  4 Be 2.70, 4 Si 2.70

Calculated values
SG ... P4/mmm (123)
Total moment ... 0.00 μB per formula unit
V ... 60.68 Å³ per cell
Density of states at the Fermi level ... 1.7 states/eV/cell

***

Pick #w: it beats the second-best structure by 3.7 kJ/mol of atoms.